Entry from Alexandria: MgCuS2Cl after structural relaxation (GGA-PBE).

Cell and atoms, written as POSCAR:
```
MgCuS2Cl
1.0
4.577 0.000 0.000
0.000 4.577 0.000
0.000 0.000 4.701
S Mg Cl Cu
2 1 1 1
Direct
0.000 0.500 0.000
0.500 0.000 0.000
0.500 0.500 0.500
0.000 0.000 0.500
0.000 0.000 0.000
```

Computed properties:
Distance to the lowest polymorph of the same formula = 0 meV per atom
Formation energy without anion corrections = -0.112 eV/atom
Density = 3.16 g/cm³
N(E_F) = 2.3 states/eV/f.u.
Space group = No. 123

Entry from Alexandria: MgSc2CuCl after structural relaxation (GGA-PBE).

Cell and atoms, written as POSCAR:
```
MgSc2CuCl
1.0
5.026 0.000 0.000
0.000 4.871 0.000
0.000 0.000 5.026
Cu Sc Mg Cl
1 2 1 1
Direct
0.000 0.000 0.000
0.500 0.000 0.000
0.000 0.000 0.500
0.000 0.500 0.000
0.500 0.500 0.500
```

Computed properties:
Formation energy without anion corrections = -0.055 eV/atom
Density = 2.88 g/cm³
N(E_F) = 3.6 states/eV/f.u.
Space group = No. 123

Entry from Alexandria: MgCuSnCl5 after structural relaxation (GGA-PBE).

Cell and atoms, written as POSCAR:
```
MgCuSnCl5
1.0
-2.933 3.315 -5.370
-4.742 -0.436 5.075
6.246 6.160 3.294
Sn Cl Cu Mg
2 10 2 2
Direct
0.659 0.341 0.750
0.341 0.659 0.250
0.681 0.094 0.395
0.919 0.081 0.750
0.081 0.919 0.250
0.319 0.906 0.605
0.276 0.369 0.566
0.369 0.276 0.066
0.906 0.319 0.105
0.631 0.724 0.934
0.094 0.681 0.895
0.724 0.631 0.434
0.313 0.687 0.750
0.687 0.313 0.250
0.000 0.000 0.500
0.000 0.000 0.000
```

Computed properties:
Formation energy without anion corrections = -1.110 eV/atom
Density = 3.23 g/cm³
Space group = No. 15